# 1
{
  "formula": "RbCd6Ag6",
  "functional": "PBE-GGA",
  "state": "relaxed",
  "magnetic_moment_mub_per_fu": 0.00,
  "crystal_system": "orthorhombic",
  "dft_energy_ev_per_atom": -1.846,
  "space_group": "Immm",
  "formation_energy_ev_per_atom": -0.033,
  "lattice_angstrom": [[5.7021, 0.0000, 0.0000], [2.8511, 7.1043, -0.0157], [2.8511, 0.1544, 7.1027]],
  "species": ["Rb", "Cd", "Cd", "Cd", "Cd", "Cd", "Cd", "Ag", "Ag", "Ag", "Ag", "Ag", "Ag"],
  "frac_coords": [[0.0000, 0.0000, 0.0000], [0.3520, 0.6480, 0.6480], [0.6480, 0.3520, 0.3520], [0.0000, 0.3490, 0.6510], [0.0000, 0.6510, 0.3490], [0.2976, 0.2024, 0.2024], [0.7024, 0.7976, 0.7976], [0.0000, 0.5000, 0.0000], [0.5000, 0.5000, 0.0000], [0.0000, 0.0000, 0.5000], [0.5000, 0.0000, 0.5000], [0.5000, 0.7686, 0.2314], [0.5000, 0.2314, 0.7686]]
}



# 2
{
  "formula": "CaNpTi2O8",
  "functional": "PBE-GGA",
  "state": "relaxed",
  "magnetic_moment_mub_per_fu": 1.00,
  "crystal_system": "monoclinic",
  "e_form_raw_mev_per_atom": -2939,
  "dft_energy_ev_per_atom": -8.806,
  "space_group": "C2/m",
  "lattice_angstrom": [[4.8992, 0.3119, 0.2447], [0.3668, 4.8953, 0.2449], [0.3510, 0.3469, 6.9868]],
  "species": ["Ca", "Np", "Ti", "Ti", "O", "O", "O", "O", "O", "O", "O", "O"],
  "frac_coords": [[0.0000, 0.0000, 0.5000], [0.0000, 0.0000, 0.0000], [0.4520, 0.4519, 0.7080], [0.5480, 0.5481, 0.2920], [0.2235, 0.7816, 0.2305], [0.7362, 0.7367, 0.0551], [0.7820, 0.2238, 0.2304], [0.7765, 0.2184, 0.7695], [0.2638, 0.2633, 0.9449], [0.2180, 0.7762, 0.7696], [0.6707, 0.6710, 0.4977], [0.3293, 0.3290, 0.5023]]
}



# 3
{
  "formula": "Y2MgP",
  "functional": "PBE-GGA",
  "state": "relaxed",
  "magnetic_moment_mub_per_fu": 0.00,
  "crystal_system": "monoclinic",
  "dft_energy_ev_per_atom": -5.608,
  "relative_energy_mev_per_atom": 153,
  "space_group": "P2/m",
  "formation_energy_ev_per_atom": -0.625,
  "lattice_angstrom": [[3.6967, 0.0000, 0.0000], [0.0000, 3.6819, 0.0331], [0.0000, 3.3084, 6.8733]],
  "species": ["Mg", "P", "Y", "Y"],
  "frac_coords": [[0.5000, 0.2500, 0.2500], [0.5000, 0.7500, 0.7500], [0.0000, 0.9976, 0.9739], [0.0000, 0.5024, 0.5261]]
}



# 4
{
  "formula": "BeBrCl3",
  "functional": "PBE-GGA",
  "state": "relaxed",
  "magnetic_moment_mub_per_fu": 0.87,
  "crystal_system": "cubic",
  "e_form_raw_mev_per_atom": 730,
  "dft_energy_ev_per_atom": -1.458,
  "relative_energy_mev_per_atom": 927,
  "space_group": "Pm-3m",
  "lattice_angstrom": [[5.2402, 0.0000, 0.0000], [0.0000, 5.2402, 0.0000], [0.0000, 0.0000, 5.2402]],
  "species": ["Be", "Br", "Cl", "Cl", "Cl"],
  "frac_coords": [[0.5000, 0.5000, 0.5000], [0.0000, 0.0000, 0.0000], [0.0000, 0.5000, 0.0000], [0.0000, 0.0000, 0.5000], [0.5000, 0.0000, 0.0000]]
}



# 5
{
  "formula": "Pa2PdAu",
  "functional": "PBE-GGA",
  "state": "relaxed",
  "magnetic_moment_mub_per_fu": 0.00,
  "crystal_system": "tetragonal",
  "dft_energy_ev_per_atom": -7.201,
  "relative_energy_mev_per_atom": 2,
  "space_group": "P4/mmm",
  "formation_energy_ev_per_atom": -0.336,
  "lattice_angstrom": [[-1.4461, -2.2446, -3.3932], [-2.7668, -2.2495, 2.6672], [-3.1544, 3.0676, -0.6850]],
  "species": ["Pa", "Pa", "Au", "Pd"],
  "frac_coords": [[0.0000, 0.0000, 0.5000], [0.0000, 0.5000, 0.0000], [0.5000, 0.0000, 0.0000], [0.5000, 0.5000, 0.5000]]
}



# 6
{
  "formula": "YTmIn",
  "functional": "PBE-GGA",
  "state": "relaxed",
  "magnetic_moment_mub_per_fu": 0.48,
  "crystal_system": "tetragonal",
  "dft_energy_ev_per_atom": -4.633,
  "relative_energy_mev_per_atom": 249,
  "space_group": "P4/nmm",
  "formation_energy_ev_per_atom": -0.075,
  "lattice_angstrom": [[4.8101, 0.0000, 0.0000], [0.0000, 4.8101, 0.0000], [0.0000, 0.0000, 7.7383]],
  "species": ["Y", "Y", "In", "In", "Tm", "Tm"],
  "frac_coords": [[0.0000, 0.5000, 0.7048], [0.5000, 0.0000, 0.2952], [0.5000, 0.5000, 0.0000], [0.0000, 0.0000, 0.0000], [0.5000, 0.0000, 0.7383], [0.0000, 0.5000, 0.2617]]
}



# 7
{
  "formula": "SrHfCuB2",
  "functional": "PBE-GGA",
  "state": "relaxed",
  "magnetic_moment_mub_per_fu": 0.49,
  "crystal_system": "tetragonal",
  "dft_energy_ev_per_atom": -4.184,
  "space_group": "P4/mmm",
  "formation_energy_ev_per_atom": 1.633,
  "lattice_angstrom": [[-0.7039, 4.3482, -0.8546], [-2.4135, 0.7477, 5.7921], [4.0866, 0.9716, 1.5774]],
  "species": ["Sr", "B", "B", "Hf", "Cu"],
  "frac_coords": [[0.0000, 0.5000, 0.0000], [0.0000, 0.0000, 0.5000], [0.5000, 0.0000, 0.0000], [0.0000, 0.0000, 0.0000], [0.5000, 0.5000, 0.5000]]
}



# 8
{
  "formula": "LaAgSn",
  "functional": "PBE-GGA",
  "state": "relaxed",
  "magnetic_moment_mub_per_fu": 0.00,
  "crystal_system": "orthorhombic",
  "dft_energy_ev_per_atom": -4.476,
  "space_group": "Pmmm",
  "formation_energy_ev_per_atom": -0.549,
  "lattice_angstrom": [[3.9236, 0.0000, -0.0001], [0.0000, 4.8521, 0.0003], [-0.0001, -0.0009, 8.4769]],
  "species": ["Sn", "Sn", "Ag", "Ag", "La", "La"],
  "frac_coords": [[0.7796, 0.5533, 0.2882], [0.7797, 0.5536, 0.6317], [0.7794, 0.0535, 0.7972], [0.7794, 0.0533, 0.1227], [0.2795, 0.5534, 0.9600], [0.2796, 0.0534, 0.4600]]
}



# 9
{
  "formula": "BaCePrO4",
  "functional": "PBE-GGA",
  "state": "relaxed",
  "magnetic_moment_mub_per_fu": 0.77,
  "crystal_system": "tetragonal",
  "e_form_raw_mev_per_atom": -2867,
  "dft_energy_ev_per_atom": -7.505,
  "space_group": "I4mm",
  "lattice_angstrom": [[-3.1016, 0.4463, 2.8931], [0.1409, -4.1874, 0.7970], [6.2501, 2.9720, 3.0986]],
  "species": ["Ba", "Ce", "Pr", "O", "O", "O", "O"],
  "frac_coords": [[0.6674, 0.6674, 0.3348], [0.0125, 0.0125, 0.0251], [0.3616, 0.3616, 0.7231], [0.9667, 0.4667, 0.9334], [0.4667, 0.9667, 0.9334], [0.8340, 0.8340, 0.6679], [0.1912, 0.1912, 0.3823]]
}



# 10
{
  "formula": "K2ZrBr",
  "functional": "PBE-GGA",
  "state": "relaxed",
  "magnetic_moment_mub_per_fu": 0.97,
  "crystal_system": "tetragonal",
  "e_form_raw_mev_per_atom": 16,
  "dft_energy_ev_per_atom": -3.088,
  "relative_energy_mev_per_atom": 147,
  "space_group": "P4mm",
  "lattice_angstrom": [[-0.4806, -2.6483, 2.2979], [2.2637, -2.0057, -1.8381], [8.5417, 3.8923, 6.2723]],
  "species": ["Br", "K", "K", "Zr"],
  "frac_coords": [[0.5000, 0.5000, 0.7090], [0.0000, 0.0000, 0.9316], [0.5000, 0.5000, 0.2921], [0.0000, 0.0000, 0.5673]]
}



# 11
{
  "formula": "Sm2TmThSc",
  "functional": "PBE-GGA",
  "state": "relaxed",
  "magnetic_moment_mub_per_fu": 0.00,
  "crystal_system": "orthorhombic",
  "dft_energy_ev_per_atom": -5.244,
  "space_group": "Pmma",
  "formation_energy_ev_per_atom": 0.288,
  "lattice_angstrom": [[-4.0625, -5.1310, -1.4991], [3.7030, -4.4117, 5.0653], [-3.9304, 1.8114, 4.4512]],
  "species": ["Sm", "Sm", "Sm", "Sm", "Tm", "Tm", "Th", "Th", "Sc", "Sc"],
  "frac_coords": [[0.7161, 0.7084, 0.7500], [0.7161, 0.2916, 0.7500], [0.2839, 0.7084, 0.2500], [0.2839, 0.2916, 0.2500], [0.1769, 0.5000, 0.7500], [0.8231, 0.5000, 0.2500], [0.5985, 0.0000, 0.2500], [0.4015, 0.0000, 0.7500], [0.0000, 0.0000, 0.0000], [0.0000, 0.0000, 0.5000]]
}



# 12
{
  "formula": "LiTi2Mo",
  "functional": "PBE-GGA",
  "state": "relaxed",
  "magnetic_moment_mub_per_fu": 0.00,
  "crystal_system": "cubic",
  "dft_energy_ev_per_atom": -7.054,
  "relative_energy_mev_per_atom": 0,
  "space_group": "Fm-3m",
  "formation_energy_ev_per_atom": 0.080,
  "lattice_angstrom": [[0.0000, 3.1456, 3.1456], [3.1456, 0.0000, 3.1456], [3.1456, 3.1456, 0.0000]],
  "species": ["Mo", "Li", "Ti", "Ti"],
  "frac_coords": [[0.5000, 0.5000, 0.5000], [0.0000, 0.0000, 0.0000], [0.2500, 0.2500, 0.2500], [0.7500, 0.7500, 0.7500]]
}



# 13
{
  "formula": "Pm3Ho2PuSe6",
  "functional": "PBE-GGA",
  "state": "relaxed",
  "magnetic_moment_mub_per_fu": 5.95,
  "crystal_system": "monoclinic",
  "e_form_raw_mev_per_atom": -1767,
  "dft_energy_ev_per_atom": -6.654,
  "space_group": "C2/m",
  "lattice_angstrom": [[4.1085, 0.0000, 0.0000], [0.0000, 8.3297, 0.2707], [-2.0543, -2.4277, 8.7099]],
  "species": ["Pm", "Pm", "Pm", "Ho", "Ho", "Pu", "Se", "Se", "Se", "Se", "Se", "Se"],
  "frac_coords": [[0.5000, 0.5000, 0.0000], [0.8354, 0.1653, 0.6708], [0.1646, 0.8347, 0.3292], [0.8361, 0.6717, 0.6723], [0.1639, 0.3283, 0.3277], [0.5000, 0.0000, 0.0000], [0.3333, 0.9082, 0.6666], [0.6707, 0.5760, 0.3414], [0.6667, 0.0918, 0.3334], [0.0028, 0.2481, 0.0055], [0.9972, 0.7519, 0.9945], [0.3293, 0.4240, 0.6586]]
}



# 14
{
  "formula": "SrPmSc",
  "functional": "PBE-GGA",
  "state": "relaxed",
  "magnetic_moment_mub_per_fu": 0.00,
  "crystal_system": "tetragonal",
  "dft_energy_ev_per_atom": -4.077,
  "space_group": "I4mm",
  "formation_energy_ev_per_atom": 0.178,
  "lattice_angstrom": [[3.7428, 0.0000, 0.0000], [0.0000, 3.7428, 0.0000], [-1.8714, -1.8714, 7.6087]],
  "species": ["Sc", "Sr", "Pm"],
  "frac_coords": [[0.6797, 0.6797, 0.3594], [0.0065, 0.0065, 0.0131], [0.3138, 0.3138, 0.6275]]
}



# 15
{
  "formula": "HIrOs",
  "functional": "PBE-GGA",
  "state": "relaxed",
  "magnetic_moment_mub_per_fu": 0.00,
  "crystal_system": "triclinic",
  "dft_energy_ev_per_atom": -7.560,
  "relative_energy_mev_per_atom": 11,
  "space_group": "P1",
  "lattice_angstrom": [[-0.3384, -0.1105, 2.7515], [-4.7754, -0.3503, -2.0124], [0.2154, -4.7456, 1.2179]],
  "species": ["H", "H", "Ir", "Ir", "Os", "Os"],
  "frac_coords": [[0.0269, 0.2338, 0.3821], [0.4872, 0.0428, 0.0866], [0.1570, 0.3311, 0.0097], [0.6637, 0.9940, 0.6516], [0.9961, 0.5601, 0.5551], [0.8149, 0.7690, 0.1252]]
}



# 16
{
  "formula": "LaGeAs2",
  "functional": "PBE-GGA",
  "state": "relaxed",
  "magnetic_moment_mub_per_fu": 0.00,
  "crystal_system": "trigonal",
  "dft_energy_ev_per_atom": -4.921,
  "space_group": "R-3m",
  "formation_energy_ev_per_atom": -0.210,
  "lattice_angstrom": [[-0.9952, -3.3441, 3.1719], [2.4314, -4.0401, 0.0083], [5.4219, 0.5230, 5.7574]],
  "species": ["As", "As", "Ge", "La"],
  "frac_coords": [[0.1045, 0.1045, 0.6865], [0.8955, 0.8955, 0.3135], [0.0000, 0.0000, 0.0000], [0.5000, 0.5000, 0.5000]]
}



# 17
{
  "formula": "CdP2PbCl",
  "functional": "PBE-GGA",
  "state": "relaxed",
  "magnetic_moment_mub_per_fu": 0.70,
  "crystal_system": "tetragonal",
  "e_form_raw_mev_per_atom": 472,
  "dft_energy_ev_per_atom": -2.986,
  "relative_energy_mev_per_atom": 0,
  "space_group": "P4/mmm",
  "lattice_angstrom": [[4.9553, 0.0000, 0.0000], [0.0000, 4.9553, 0.0000], [0.0000, 0.0000, 5.4212]],
  "species": ["Pb", "P", "P", "Cl", "Cd"],
  "frac_coords": [[0.5000, 0.5000, 0.5000], [0.0000, 0.5000, 0.0000], [0.5000, 0.0000, 0.0000], [0.0000, 0.0000, 0.5000], [0.0000, 0.0000, 0.0000]]
}



# 18
{
  "formula": "Nd6Sm2Mg",
  "functional": "PBE-GGA",
  "state": "relaxed",
  "magnetic_moment_mub_per_fu": 0.00,
  "crystal_system": "tetragonal",
  "dft_energy_ev_per_atom": -4.388,
  "relative_energy_mev_per_atom": 0,
  "space_group": "P4_2/mnm",
  "formation_energy_ev_per_atom": 0.016,
  "lattice_angstrom": [[-3.9517, 1.5420, 2.9458], [6.0937, -1.3212, 8.8662], [3.4008, 10.2606, -0.8085]],
  "species": ["Nd", "Nd", "Nd", "Nd", "Nd", "Nd", "Nd", "Nd", "Nd", "Nd", "Nd", "Nd", "Sm", "Sm", "Sm", "Sm", "Mg", "Mg"],
  "frac_coords": [[0.0000, 0.0009, 0.1683], [0.0000, 0.6683, 0.5008], [0.0001, 0.6643, 0.8356], [0.4999, 0.1642, 0.6644], [0.5000, 0.1682, 0.9992], [0.5000, 0.5009, 0.3317], [0.0000, 0.9991, 0.8317], [0.0000, 0.3317, 0.4992], [0.9999, 0.3357, 0.1644], [0.5001, 0.8358, 0.3356], [0.5000, 0.8318, 0.0008], [0.5000, 0.4991, 0.6683], [0.0000, 0.3326, 0.8328], [0.5000, 0.8328, 0.6672], [0.5000, 0.1672, 0.3328], [0.0000, 0.6674, 0.1672], [0.5000, 0.5000, 0.0000], [0.0000, 0.0000, 0.5000]]
}



# 19
{
  "formula": "BeNi2I2",
  "functional": "PBE-GGA",
  "state": "relaxed",
  "magnetic_moment_mub_per_fu": 0.00,
  "crystal_system": "tetragonal",
  "e_form_raw_mev_per_atom": 477,
  "dft_energy_ev_per_atom": -3.201,
  "relative_energy_mev_per_atom": 0,
  "space_group": "I4/mmm",
  "lattice_angstrom": [[-1.1850, 4.6820, 2.1936], [-4.7336, -1.8877, 1.4720], [-1.3926, 0.1703, 5.2977]],
  "species": ["I", "I", "Ni", "Ni", "Be"],
  "frac_coords": [[0.7500, 0.2500, 0.5000], [0.2500, 0.7500, 0.5000], [0.2540, 0.2540, 0.4920], [0.7460, 0.7460, 0.5080], [0.0000, 0.0000, 0.0000]]
}



# 20
{
  "formula": "BaAl2Sb",
  "functional": "PBE-GGA",
  "state": "relaxed",
  "magnetic_moment_mub_per_fu": 0.00,
  "crystal_system": "monoclinic",
  "e_form_raw_mev_per_atom": -189,
  "dft_energy_ev_per_atom": -3.572,
  "space_group": "P2/m",
  "lattice_angstrom": [[5.1283, 0.0000, 0.0000], [0.0000, 4.9585, -0.0024], [0.0000, 0.1705, 5.2363]],
  "species": ["Sb", "Ba", "Al", "Al"],
  "frac_coords": [[0.5000, 0.7500, 0.7500], [0.5000, 0.2500, 0.2500], [0.0000, 0.9999, 0.8375], [0.0000, 0.5001, 0.6625]]
}



Calculated values (states/eV per atom) of DOS at the Fermi energy for the records, taken in order: 0.33, 0.02, 0.73, 0.33, 1.62, 1.31, 1.01, 0.54, 0.64, 0.90, 1.38, 0.86, 0.77, 1.74, 0.55, 0.89, 0.77, 1.39, 0.45, 0.40.